Compound: ScC2
Source: the Alexandria database
Functional: GGA-PBE
Structure: relaxed

Cell lengths 3.349, 3.349, 7.974 Å; angles 90.00, 90.00, 120.00 degrees
Sites, in units of the cell vectors:
Sc1 0.000 0.000 0.000
Sc2 0.000 0.000 0.500
C1 0.333 0.667 0.169
C2 0.333 0.667 0.331
C3 0.667 0.333 0.669
C4 0.667 0.333 0.831

Calculated values
energy relative to the elements	7.11	kJ per mole of atoms
Fermi-level density of states	2.78	states/eV per cell
total moment	0.0	μB/cell